[1]
This record from Alexandria via LeMat-Bulk describes crystalline Nd3Zn2Ru3C at its relaxed geometry. The functional is PBE.

Structure (POSCAR):
```
Nd3Zn2Ru3C
1.0
3.4260 0.0000 0.0000
0.0000 7.5457 0.0000
0.0000 -3.7729 6.5348
Nd Zn Ru C
3 2 3 1
Cartesian
0.0000 -1.3646 2.3636 Nd
0.0000 2.4083 4.1712 Nd
0.0000 2.7292 0.0000 Nd
1.7130 0.0000 4.3565 Zn
1.7130 3.7729 2.1783 Zn
1.7130 5.9490 0.0000 Ru
1.7130 0.7984 1.3828 Ru
1.7130 -2.9745 5.1520 Ru
0.0000 0.0000 0.0000 C
```

As for the calculated formation energy: 0.0185 eV/atom. As for the space-group type: P-62m.


[2]
This record from Alexandria via LeMat-Bulk describes crystalline BaY2Cd at its relaxed geometry. The functional is PBE.

Structure (POSCAR):
```
BaY2Cd
1.0
5.2330 0.0000 0.0000
0.0000 5.0688 0.0000
0.0000 0.0000 5.0688
Ba Cd Y
1 1 2
Cartesian
2.6165 2.5344 0.0000 Ba
2.6165 0.0000 2.5344 Cd
0.0000 0.0000 0.0000 Y
0.0000 2.5344 2.5344 Y
```

As for the calculated formation energy: 0.1072 eV/atom. As for the space-group type: P4/mmm.


[3]
This record from Alexandria via LeMat-Bulk describes crystalline AlBC at its relaxed geometry. The functional is PBE.

Structure (POSCAR):
```
AlBC
1.0
3.1365 0.1522 0.0224
1.6156 3.7658 0.0196
1.5837 0.9095 5.7647
C B Al
2 2 2
Cartesian
4.4533 2.8088 2.9933 C
4.5127 3.6490 1.9365 C
4.4189 2.4192 4.4364 B
2.8656 2.0409 5.1967 B
2.9609 4.1482 5.6108 Al
1.2668 1.0582 1.6792 Al
```

As for the calculated formation energy: 0.3222 eV/atom. As for the space-group type: P1. The value obtained for the relative energy among the computed polymorphs is 0.341 eV/atom.